1.
# CuReHgPb, optimized geometry, DFT PBE-GGA
# Total magnetic moment = 0.00 μB/f.u.
# Symmetry = F-43m, No. 216
# Polymorph energy (0 for the lowest one) = 0 meV/atom
# Energy = -4.0999 eV/atom
data_CuReHgPb
_space_group_name_H-M_alt 'P 1'
_space_group_IT_number 1
_cell_length_a 4.711
_cell_length_b 4.711
_cell_length_c 4.711
_cell_angle_alpha 60.00
_cell_angle_beta 60.00
_cell_angle_gamma 60.00
loop_
_space_group_symop_operation_xyz
'x,y,z'
loop_
_atom_site_label
_atom_site_fract_x
_atom_site_fract_y
_atom_site_fract_z
Cu1 0.750 0.750 0.750
Hg1 0.500 0.500 0.500
Pb1 0.000 0.000 0.000
Re1 0.250 0.250 0.250

---

2.
# TaCuHgPb, optimized geometry, DFT PBE-GGA
# Total magnetic moment = 1.75 μB/f.u.
# Symmetry = F-43m, No. 216
# Polymorph energy (0 for the lowest one) = 114 meV/atom
# Energy = -4.0502 eV/atom
data_TaCuHgPb
_space_group_name_H-M_alt 'P 1'
_space_group_IT_number 1
_cell_length_a 4.897
_cell_length_b 4.897
_cell_length_c 4.897
_cell_angle_alpha 60.00
_cell_angle_beta 60.00
_cell_angle_gamma 60.00
loop_
_space_group_symop_operation_xyz
'x,y,z'
loop_
_atom_site_label
_atom_site_fract_x
_atom_site_fract_y
_atom_site_fract_z
Cu1 0.750 0.750 0.750
Hg1 0.250 0.250 0.250
Pb1 0.000 0.000 0.000
Ta1 0.500 0.500 0.500